Here is a relaxed Li7Pr3Tl4 crystal from the Alexandria database. Energies are from PBE-GGA.

a b c (Å): 17.2026 4.9817 9.0023
angles (deg): 90.00 121.02 90.00
With the nearest neighbours (Å) after each atom.
Space group C2/m (No. 12)
Asymmetric unit:
Li (0.0000, 0.0000, 0.0000) x2  2 Tl 2.70, 6 Li 2.71-2.92
Li (0.0089, 0.5000, 0.1782) x4  4 Li 2.74-3.06, 1 Tl 2.78
Li (0.1446, 0.0000, 0.9562) x4  1 Li 2.71, 2 Tl 2.88
Li (0.1585, 0.5000, 0.5067) x4  4 Tl 2.73-3.03, 1 Li 2.74
Pr (0.0000, 0.0000, 0.5000) x2  6 Tl 3.40-3.56, 6 Li 3.54-3.67
Pr (0.2290, 0.5000, 0.2286) x4  7 Li 3.26-3.57, 6 Tl 3.33-3.39
Tl (0.1377, 0.0000, 0.3333) x4  3 Li 2.70-2.86
Tl (0.1452, 0.5000, 0.7965) x4  4 Li 2.73-2.88

total energy: -81.3 eV/cell
magnetization: 0.00 μB per formula unit
theoretical density: 6.47 g/cm3
energy of formation: -3.438 eV per formula unit
V: 23.61 A^3/atom

Here is a relaxed LiPr3Tl3 crystal from the Alexandria database. Energies are from PBE-GGA.

a b c (Å): 8.4459 11.6006 8.6550
angles (deg): 90.00 97.23 90.00
With the nearest neighbours (Å) after each atom.
Space group C2/m (No. 12)
Asymmetric unit:
Li (0.2192, 0.0000, 0.4659) x4  4 Tl 2.76-3.08
Pr (0.0000, 0.2516, 0.5000) x4  6 Tl 3.36-3.38, 4 Li 3.49-3.72
Pr (0.0000, 0.3198, 0.0000) x4  6 Tl 3.12-3.34
Pr (0.1292, 0.0000, 0.8447) x4  5 Tl 3.35-3.71, 2 Li 3.46-3.73, 1 Pr 3.67
Tl (0.0235, 0.5000, 0.3036) x4  2 Li 2.76-3.08
Tl (0.2121, 0.1543, 0.2220) x8  1 Li 2.76

total energy: -100.3 eV/cell
magnetization: 0.00 μB per formula unit
theoretical density: 8.23 g/cm3
ΔE to the lowest computed polymorph: 67 meV/atom
energy of formation: -1.732 eV per formula unit
V: 30.04 A^3/atom